# MgSbAs2Br

An optimized crystal structure of MgSbAs2Br (PBE, the Alexandria database).

```
MgSbAs2Br
1.0
5.159 0.000 0.000
0.000 5.159 0.000
0.000 0.000 4.914
Sb As Mg Br
1 2 1 1
direct
0.500 0.500 0.500
0.000 0.500 0.000
0.500 0.000 0.000
0.000 0.000 0.000
0.000 0.000 0.500
```

Values from the calculation:
The calculation puts the energy relative to the elements, uncorrected at 0.346 eV/atom. The calculation puts the density of states at the Fermi level at 0.897 states/eV/atom. The calculation puts the energy above the lowest structure with this stoichiometry at 0 meV/atom. As for the total energy: -14.961 eV per cell.



# U5Ti12As3

An optimized crystal structure of U5Ti12As3 (PBE, the Alexandria database).

```
U5Ti12As3
1.0
12.980 0.000 0.000
-4.327 12.238 0.000
-4.327 -6.119 10.598
As U Ti
12 20 48
direct
0.750 0.375 0.125
0.875 0.750 0.125
0.375 0.750 0.625
0.250 0.125 0.375
0.875 0.125 0.250
0.375 0.625 0.250
0.625 0.375 0.750
0.125 0.875 0.750
0.750 0.875 0.625
0.625 0.250 0.375
0.125 0.250 0.875
0.250 0.625 0.875
0.125 0.375 0.250
0.000 0.500 0.000
0.000 0.000 0.000
0.375 0.250 0.125
0.500 0.000 0.500
0.500 0.500 0.000
0.125 0.750 0.375
0.750 0.125 0.875
0.750 0.625 0.375
0.375 0.125 0.750
0.625 0.875 0.250
0.500 0.500 0.500
0.500 0.000 0.000
0.000 0.000 0.500
0.250 0.375 0.625
0.250 0.875 0.125
0.000 0.500 0.500
0.875 0.250 0.625
0.625 0.750 0.875
0.875 0.625 0.750
0.731 0.146 0.071
0.340 0.571 0.425
0.929 0.354 0.269
0.571 0.231 0.146
0.585 0.731 0.660
0.929 0.575 0.160
0.340 0.769 0.415
0.075 0.915 0.146
0.575 0.929 0.660
0.731 0.585 0.160
0.769 0.429 0.354
0.840 0.925 0.071
0.146 0.731 0.571
0.354 0.425 0.085
0.085 0.925 0.354
0.415 0.146 0.575
0.085 0.160 0.231
0.429 0.660 0.075
0.840 0.915 0.269
0.146 0.415 0.075
0.354 0.929 0.769
0.575 0.646 0.415
0.925 0.840 0.571
0.769 0.340 0.915
0.425 0.354 0.585
0.075 0.160 0.429
0.231 0.660 0.085
0.160 0.085 0.731
0.646 0.071 0.231
0.854 0.585 0.925
0.571 0.340 0.925
0.585 0.854 0.425
0.915 0.840 0.769
0.915 0.075 0.646
0.854 0.269 0.429
0.160 0.075 0.929
0.646 0.575 0.915
0.425 0.071 0.340
0.269 0.415 0.840
0.231 0.571 0.646
0.925 0.085 0.854
0.660 0.231 0.585
0.429 0.769 0.854
0.071 0.425 0.840
0.415 0.269 0.340
0.071 0.646 0.731
0.660 0.429 0.575
0.269 0.854 0.929
```

Values from the calculation:
The calculation puts the density of states at the Fermi level at 1.774 states/eV/atom. The value obtained for the formation energy is 0.779 eV/atom. As for the total energy: -598.163 eV per cell.